(1)
A relaxed structure of Cd3Hg2Pb4, computed with GGA-PBE.

Geometry as POSCAR:
```
Cd3Hg2Pb4
1.0
3.4728 0.0000 0.0000
-1.7364 3.0076 0.0000
0.0000 0.0000 24.2696
Cd Hg Pb
3 2 4
Cartesian
0.0000 0.0000 0.0000
0.0000 0.0000 8.1643
1.7364 1.0025 16.4591
1.7364 1.0025 2.4305
1.7364 1.0025 21.8806
0.0000 0.0000 13.7931
0.0000 0.0000 19.1540
1.7364 1.0025 5.5070
1.7364 1.0025 10.8185
```

Crystal system: trigonal

(2)
A relaxed structure of Cd6Hg6Pb, computed with GGA-PBE.

Geometry as POSCAR:
```
Cd6Hg6Pb
1.0
6.0692 0.0000 0.0000
-3.0346 5.2561 0.0000
0.0000 0.0000 10.1399
Cd Hg Pb
6 6 1
Cartesian
-1.5173 2.6281 2.5299
-1.5173 2.6281 7.6099
3.0346 0.0000 2.5299
3.0346 0.0000 7.6099
1.5173 2.6281 2.5299
1.5173 2.6281 7.6099
0.0000 0.0000 1.4895
0.0000 0.0000 8.6504
0.0000 3.5041 0.0000
0.0000 3.5041 5.0699
3.0346 1.7520 0.0000
3.0346 1.7520 5.0699
0.0000 0.0000 5.0699
```

Crystal system: hexagonal

(3)
A relaxed structure of CdHg2Pb2, computed with GGA-PBE.

Geometry as POSCAR:
```
CdHg2Pb2
1.0
7.5956 0.0000 0.0000
0.0000 7.5956 0.0000
0.0000 0.0000 4.8729
Cd Hg Pb
2 4 4
Cartesian
0.0000 0.0000 0.0000
3.7978 3.7978 0.0000
1.0541 2.7437 0.0000
2.7437 6.5415 0.0000
4.8519 1.0541 0.0000
6.5415 4.8519 0.0000
1.2902 5.0880 2.4365
2.5076 1.2902 2.4365
5.0880 6.3054 2.4365
6.3054 2.5076 2.4365
```

Crystal system: tetragonal

(4)
A relaxed structure of Cd5HgPb, computed with GGA-PBE.

Geometry as POSCAR:
```
Cd5HgPb
1.0
4.7430 0.0000 0.0000
0.0000 4.7430 0.0000
0.0000 0.0000 8.0592
Cd Hg Pb
5 1 1
Cartesian
0.0000 0.0000 0.0000
0.0000 2.3715 2.2615
0.0000 2.3715 5.7976
2.3715 0.0000 2.2615
2.3715 0.0000 5.7976
2.3715 2.3715 4.0296
2.3715 2.3715 0.0000
```

Crystal system: tetragonal

(5)
A relaxed structure of CdHgPb2, computed with GGA-PBE.

Geometry as POSCAR:
```
CdHgPb2
1.0
5.7695 -1.7512 0.0000
5.7695 1.7512 0.0000
-1.5805 0.0000 5.5092
Cd Hg Pb
1 1 2
Cartesian
0.0000 0.0000 0.0000
7.9767 0.0000 1.4053
1.6321 0.0000 4.2410
4.8008 0.0000 2.6870
```

Crystal system: monoclinic

(6)
A relaxed structure of CdHg2Pb2, computed with GGA-PBE.

Geometry as POSCAR:
```
CdHg2Pb2
1.0
-2.2599 2.2599 7.6172
2.2599 -2.2599 7.6172
2.2599 2.2599 -7.6172
Cd Hg Pb
1 2 2
Cartesian
0.0000 0.0000 0.0000
0.0000 0.0000 6.1919
0.0000 0.0000 9.0425
2.2599 0.0000 3.8086
0.0000 2.2599 3.8086
```

Crystal system: tetragonal

(7)
A relaxed structure of Cd3Hg3Pb, computed with GGA-PBE.

Geometry as POSCAR:
```
Cd3Hg3Pb
1.0
3.7573 2.1693 7.5015
-3.7573 2.1693 7.5015
0.0000 -4.3385 7.5015
Cd Hg Pb
6 6 2
Cartesian
-0.7927 -2.7703 8.8635
-2.7955 -0.6986 13.6410
-2.0028 2.0717 8.8635
2.0028 -2.0717 13.6410
2.7955 0.6986 8.8635
0.7927 2.7703 13.6410
-2.3699 -0.6318 10.3114
-0.6378 -2.3683 12.1932
-1.7321 1.7365 12.1932
1.7321 -1.7365 10.3114
0.6378 2.3683 10.3114
2.3699 0.6318 12.1932
0.0000 0.0000 7.4944
0.0000 0.0000 15.0101
```

Crystal system: trigonal

(8)
A relaxed structure of Cd2Hg2Pb, computed with GGA-PBE.

Geometry as POSCAR:
```
Cd2Hg2Pb
1.0
-2.1817 2.1817 7.0205
2.1817 -2.1817 7.0205
2.1817 2.1817 -7.0205
Cd Hg Pb
2 2 1
Cartesian
0.0000 0.0000 1.4111
0.0000 0.0000 12.6300
2.1817 0.0000 3.5103
0.0000 2.1817 3.5103
0.0000 0.0000 7.0205
```

Crystal system: tetragonal

E_form (computed, eV per atom): 0.036 0.042 0.067 0.068 0.027 0.168 0.051 0.081